No. 1
DFT (GGA+U) results for crystalline Na2Mn2CrO6 at its relaxed geometry.

It has space group C2/m (No. 12), with a = 5.1302 Å, b = 9.1105 Å, c = 5.7501 Å, α = 90.00°, β = 106.79° and γ = 90.00°. The inequivalent atoms are Na at (0.0000, 0.1646, 0.0000), Mn at (0.0000, 0.3352, 0.5000), Cr at (0.0000, 0.0000, 0.5000), O at (0.2329, 0.5000, 0.6918) and O at (0.2347, 0.1682, 0.6865).

The value obtained for the total energy is -6.665 eV per atom. The value obtained for the total magnetization is 10.00 μB per formula unit.



No. 2
DFT (GGA+U) results for crystalline Na3MnCr2O6 at its relaxed geometry.

It has space group C2/m (No. 12), with a = 5.3776 Å, b = 9.0438 Å, c = 5.7044 Å, α = 90.00°, β = 109.40° and γ = 90.00°. The inequivalent atoms are Na at (0.0000, 0.0000, 0.0000), Na at (0.0000, 0.3344, 0.0000), Mn at (0.0000, 0.5000, 0.5000), Cr at (0.0000, 0.1644, 0.5000), O at (0.2186, 0.0000, 0.7102) and O at (0.2322, 0.3358, 0.6925).

The value obtained for the total energy is -6.505 eV per atom. The value obtained for the total magnetization is 10.00 μB per formula unit.



No. 3
DFT (GGA+U) results for crystalline Na3MnCr3O8 at its relaxed geometry.

It has space group R-3m (No. 166, hexagonal axes), with a = 6.0044 Å, b = 6.0044 Å, c = 16.3749 Å, α = 90.00°, β = 90.00° and γ = 120.00°. The inequivalent atoms are Na at (0.0000, 0.5000, 0.0000), Mn at (0.0000, 0.0000, 0.5000), Cr at (0.0000, 0.5000, 0.5000), O at (0.0000, 0.0000, 0.2317) and O at (0.0129, 0.5064, 0.2294).

The value obtained for the total energy is -6.758 eV per atom. The value obtained for the total magnetization is 12.00 μB per formula unit.



Please write out number 2 again, unchanged.
DFT (GGA+U) results for crystalline Na3MnCr2O6 at its relaxed geometry.

It has space group C2/m (No. 12), with a = 5.3776 Å, b = 9.0438 Å, c = 5.7044 Å, α = 90.00°, β = 109.40° and γ = 90.00°. The inequivalent atoms are Na at (0.0000, 0.0000, 0.0000), Na at (0.0000, 0.3344, 0.0000), Mn at (0.0000, 0.5000, 0.5000), Cr at (0.0000, 0.1644, 0.5000), O at (0.2186, 0.0000, 0.7102) and O at (0.2322, 0.3358, 0.6925).

The value obtained for the total energy is -6.505 eV per atom. The value obtained for the total magnetization is 10.00 μB per formula unit.